1.
Computed, not measured: TbDySn4 after structural relaxation at the PBE level of DFT.

## Properties
Size of the total moment: 0.01 Bohr magnetons per cell
V: 158 Å³/cell
E_tot: -4.807 eV/atom
SG: Amm2, No. 38

a = 4.348 Å, b = 8.483 Å, c = 8.483 Å
α = 30.27°, β = 90.00°, γ = 90.00°
Element x y z (fractional)
Tb 0.500 0.402 0.402
Dy 0.000 0.599 0.599
Sn 0.000 0.248 0.248
Sn 0.500 0.751 0.751
Sn 0.500 0.064 0.064
Sn 0.000 0.937 0.937

***

2.
Computed, not measured: TbDySn2 after structural relaxation at the PBE level of DFT.

## Properties
Size of the total moment: 0.01 Bohr magnetons per cell
V: 128 Å³/cell
E_tot: -4.233 eV/atom
SG: Amm2, No. 38

a = 3.338 Å, b = 6.892 Å, c = 6.892 Å
α = 53.61°, β = 90.00°, γ = 90.00°
Element x y z (fractional)
Dy 0.000 0.640 0.640
Tb 0.000 0.360 0.360
Sn 0.000 0.115 0.115
Sn 0.000 0.885 0.885

***

3.
Computed, not measured: DySnTe after structural relaxation at the PBE level of DFT.

## Properties
Size of the total moment: 0.01 Bohr magnetons per cell
V: 96 Å³/cell
E_tot: -4.219 eV/atom
SG: F-43m, No. 216

a = 5.143 Å, b = 5.143 Å, c = 5.143 Å
α = 60.00°, β = 60.00°, γ = 60.00°
Element x y z (fractional)
Sn 0.750 0.750 0.750
Dy 0.250 0.250 0.250
Te 0.000 0.000 0.000

***

4.
Computed, not measured: DySnTe after structural relaxation at the PBE level of DFT.

## Properties
Size of the total moment: 0.01 Bohr magnetons per cell
V: 99 Å³/cell
E_tot: -4.289 eV/atom
SG: F-43m, No. 216

a = 5.196 Å, b = 5.196 Å, c = 5.196 Å
α = 60.00°, β = 60.00°, γ = 60.00°
Element x y z (fractional)
Dy 0.000 0.000 0.000
Te 0.750 0.750 0.750
Sn 0.250 0.250 0.250

***

5.
Computed, not measured: Dy3SnTe2 after structural relaxation at the PBE level of DFT.

## Properties
Size of the total moment: 0.01 Bohr magnetons per cell
V: 178 Å³/cell
E_tot: -5.183 eV/atom
SG: Immm, No. 71

a = 7.577 Å, b = 7.577 Å, c = 7.577 Å
α = 146.25°, β = 131.96°, γ = 59.99°
Element x y z (fractional)
Dy 0.159 0.659 0.500
Dy 0.841 0.341 0.500
Dy 0.500 0.000 0.500
Te 0.669 0.669 0.000
Te 0.331 0.331 0.000
Sn 0.000 0.000 0.000

***

6.
Computed, not measured: DyTlSnTe3 after structural relaxation at the PBE level of DFT.

## Properties
Size of the total moment: 0.00 Bohr magnetons per cell
V: 435 Å³/cell
E_tot: -4.055 eV/atom
SG: Cmcm, No. 63

a = 8.313 Å, b = 8.313 Å, c = 12.419 Å
α = 90.00°, β = 90.00°, γ = 149.52°
Element x y z (fractional)
Tl 0.293 0.707 0.750
Tl 0.707 0.293 0.250
Te 0.366 0.634 0.998
Te 0.996 0.004 0.750
Te 0.634 0.366 0.002
Te 0.634 0.366 0.498
Te 0.366 0.634 0.502
Te 0.004 0.996 0.250
Dy 0.000 0.000 0.500
Dy 0.000 0.000 0.000
Sn 0.376 0.624 0.250
Sn 0.624 0.376 0.750